Compound: Pm3CoO6
Source: the Alexandria database
Functional: PBE with a Hubbard U
Structure: optimized geometry

Lattice parameters (Å, degrees): 5.589 7.365 7.365 102.71 90.00 90.00
Site moments in Bohr magnetons follow the coordinates.
Element x y z (fractional)
O: 0.159 0.044 0.956  0.24
O: 0.702 0.326 0.354  0.01
O: 0.682 0.893 0.416  0.17
O: 0.202 0.674 0.646  0.01
O: 0.181 0.784 0.216  0.20
O: 0.702 0.646 0.674  0.01
O: 0.202 0.354 0.326  0.01
O: 0.681 0.216 0.784  0.20
O: 0.182 0.107 0.584  0.17
O: 0.659 0.956 0.044  0.24
O: 0.182 0.416 0.893  0.17
O: 0.682 0.584 0.107  0.17
Co: 0.505 0.814 0.186  2.96
Co: 0.005 0.186 0.814  2.96
Pm: 0.974 0.695 0.913  0.01
Pm: 0.925 0.604 0.396  0.01
Pm: 0.474 0.913 0.695  0.01
Pm: 0.474 0.305 0.087  0.01
Pm: 0.974 0.087 0.305  0.01
Pm: 0.425 0.396 0.604  0.01

Results
Offset from the most stable computed form (eV per atom): 0.000
Final energy (eV/f.u.): -77.3